Model a:
# Sr4CuHg

Crystalline Sr4CuHg at its relaxed geometry (GGA-PBE, the Alexandria database).

a = 3.9774 Å, b = 3.9774 Å, c = 14.1336 Å
α = 90.00°, β = 90.00°, γ = 90.00°
Sites, in units of the cell vectors:
Sr1 0.0000 0.0000 0.1278
Sr2 0.0000 0.0000 0.8722
Sr3 0.5000 0.5000 0.3609
Sr4 0.5000 0.5000 0.6391
Cu1 0.5000 0.5000 0.0000
Hg1 0.0000 0.0000 0.5000

Density of states at the Fermi level = 5.0 states/eV per cell
Total moment = 0.000 μB/f.u.
Crystal system = tetragonal
Space-group type = P4/mmm (123)

Model b:
# Sr4CuHg

Crystalline Sr4CuHg at its relaxed geometry (GGA-PBE, the Alexandria database).

a = 7.3180 Å, b = 7.3180 Å, c = 7.3180 Å
α = 60.00°, β = 60.00°, γ = 60.00°
Sites, in units of the cell vectors:
Sr1 0.1249 0.1249 0.1249
Sr2 0.1249 0.1249 0.6252
Sr3 0.1249 0.6252 0.1249
Sr4 0.6252 0.1249 0.1249
Cu1 0.7500 0.7500 0.7500
Hg1 0.5000 0.5000 0.5000

Density of states at the Fermi level = 9.3 states/eV per cell
Total moment = 0.001 μB/f.u.
Crystal system = cubic
Space-group type = F-43m (216)

The structure with the greatest stability is model a.

Model a:
# Ta2CuHg

Crystalline Ta2CuHg at its relaxed geometry (GGA-PBE, the Alexandria database).

a = 5.3104 Å, b = 5.3104 Å, c = 5.0562 Å
α = 112.61°, β = 112.61°, γ = 32.35°
Sites, in units of the cell vectors:
Ta1 0.0000 0.0000 0.0000
Ta2 0.2464 0.2464 0.8740
Cu1 0.5139 0.5139 0.5007
Hg1 0.7683 0.7683 0.3921

Density of states at the Fermi level = 2.6 states/eV per cell
Total moment = 0.000 μB/f.u.
Crystal system = monoclinic
Space-group type = Cm (8)

Model b:
# Ta2CuHg

Crystalline Ta2CuHg at its relaxed geometry (GGA-PBE, the Alexandria database).

a = 2.8559 Å, b = 2.8559 Å, c = 8.7817 Å
α = 90.00°, β = 90.00°, γ = 100.71°
Sites, in units of the cell vectors:
Ta1 0.0000 0.0000 0.0000
Ta2 0.5000 0.5000 0.2550
Cu1 0.0000 0.0000 0.4813
Hg1 0.5000 0.5000 0.7231

Density of states at the Fermi level = 2.7 states/eV per cell
Total moment = 0.000 μB/f.u.
Crystal system = orthorhombic
Space-group type = Cmm2 (35)

Model c:
# Ta2CuHg

Crystalline Ta2CuHg at its relaxed geometry (GGA-PBE, the Alexandria database).

a = 9.8927 Å, b = 9.8927 Å, c = 9.8927 Å
α = 16.85°, β = 16.85°, γ = 16.85°
Sites, in units of the cell vectors:
Ta1 0.2436 0.2436 0.2436
Ta2 0.7564 0.7564 0.7564
Cu1 0.5000 0.5000 0.5000
Hg1 0.0000 0.0000 0.0000

Density of states at the Fermi level = 2.6 states/eV per cell
Total moment = 0.000 μB/f.u.
Crystal system = trigonal
Space-group type = R-3m (166)

The structure with the greatest stability is model b.